# 1
A relaxed structure of ReRhW2, computed with GGA-PBE.

```
ReRhW2
1.0
-0.287 -3.731 -2.467
2.600 -0.554 0.536
-0.764 -2.771 4.279
Re Rh W
1 1 2
Cartesian
0.833 -1.650 2.398
1.607 -4.437 2.452
1.592 -3.270 4.760
0.273 -2.687 -0.040
```

Output
energy above the lowest structure with this stoichiometry = 65 meV per atom
DOS at the Fermi energy = 0.7129 states/eV per atom
crystal system = monoclinic


# 2
A relaxed structure of ReRhW2, computed with GGA-PBE.

```
ReRhW2
1.0
-1.384 0.838 -2.211
0.951 -2.148 -1.409
-6.492 -4.437 2.380
Re Rh W
1 1 2
Cartesian
-3.313 -2.264 1.215
-5.056 -3.963 -0.036
-6.426 -4.391 2.356
-1.868 -1.784 -1.205
```

Output
energy above the lowest structure with this stoichiometry = 84 meV per atom
DOS at the Fermi energy = 0.8195 states/eV per atom
crystal system = tetragonal


# 3
A relaxed structure of Re2RhW, computed with GGA-PBE.

```
Re2RhW
1.0
-1.928 -1.105 -8.941
0.001 -3.087 -8.681
-2.647 -3.633 -8.042
Re Rh W
2 1 1
Cartesian
-0.011 -0.019 -0.062
-3.426 -5.860 -19.220
-2.290 -3.917 -12.847
-1.135 -1.941 -6.366
```

Output
energy above the lowest structure with this stoichiometry = 85 meV per atom
DOS at the Fermi energy = 1.1418 states/eV per atom
crystal system = trigonal


# 4
A relaxed structure of ReRhW2, computed with GGA-PBE.

```
ReRhW2
1.0
-7.739 2.816 -4.684
-8.387 0.138 -4.405
-8.970 1.923 -2.369
Re Rh W
1 1 2
Cartesian
-12.615 2.451 -5.760
-6.270 1.218 -2.863
-24.995 4.857 -11.412
-18.858 3.664 -8.610
```

Output
energy above the lowest structure with this stoichiometry = 160 meV per atom
DOS at the Fermi energy = 1.1921 states/eV per atom
crystal system = trigonal


# 5
A relaxed structure of Re2RhW, computed with GGA-PBE.

```
Re2RhW
1.0
4.116 0.000 0.000
0.000 2.674 -0.008
0.000 0.584 5.533
Re Rh W
2 1 1
Cartesian
0.000 0.612 4.216
0.000 2.646 1.309
2.058 1.337 -0.004
2.058 1.629 2.763
```

Output
energy above the lowest structure with this stoichiometry = 128 meV per atom
DOS at the Fermi energy = 0.7935 states/eV per atom
crystal system = monoclinic


# 6
A relaxed structure of Re2RhW, computed with GGA-PBE.

```
Re2RhW
1.0
1.380 4.585 0.008
-1.380 4.585 0.008
0.000 0.794 4.769
Re Rh W
2 1 1
Cartesian
0.000 2.904 3.553
0.000 7.061 1.232
0.000 0.397 2.384
0.000 4.585 0.008
```

Output
energy above the lowest structure with this stoichiometry = 66 meV per atom
DOS at the Fermi energy = 0.7643 states/eV per atom
crystal system = monoclinic


# 7
A relaxed structure of Re2RhW, computed with GGA-PBE.

```
Re2RhW
1.0
-1.475 -3.455 1.025
3.491 -1.645 -0.521
0.910 0.734 3.784
Re Rh W
2 1 1
Cartesian
0.000 0.000 0.000
1.008 -2.550 0.252
-0.283 -1.360 2.405
2.200 -0.455 1.632
```

Output
energy above the lowest structure with this stoichiometry = 0 meV per atom
DOS at the Fermi energy = 0.6095 states/eV per atom
crystal system = tetragonal


# 8
A relaxed structure of ReRhW2, computed with GGA-PBE.

```
ReRhW2
1.0
1.381 4.636 0.012
-1.381 4.636 0.012
0.000 0.774 4.812
Re Rh W
1 1 2
Cartesian
0.000 4.961 2.424
0.000 7.560 3.637
0.000 0.821 4.756
0.000 2.502 1.249
```

Output
energy above the lowest structure with this stoichiometry = 44 meV per atom
DOS at the Fermi energy = 0.7647 states/eV per atom
crystal system = monoclinic


# 9
A relaxed structure of ReRhW2, computed with GGA-PBE.

```
ReRhW2
1.0
3.923 2.779 -0.461
-3.923 2.779 -0.461
0.000 0.457 2.745
Re Rh W
1 1 2
Cartesian
0.000 3.008 0.911
0.000 0.229 1.372
1.962 1.390 -0.231
-1.962 1.390 -0.231
```

Output
energy above the lowest structure with this stoichiometry = 0 meV per atom
DOS at the Fermi energy = 0.7646 states/eV per atom
crystal system = orthorhombic


# 10
A relaxed structure of ReRhW3, computed with GGA-PBE.

```
ReRhW3
1.0
-0.730 4.643 0.121
-4.428 -0.733 1.402
1.403 0.103 4.486
Re Rh W
1 1 3
Cartesian
0.000 0.000 0.000
-1.877 2.007 3.005
-2.214 -0.366 0.701
0.702 0.052 2.243
-0.365 2.322 0.061
```

Output
energy above the lowest structure with this stoichiometry = 0 meV per atom
DOS at the Fermi energy = 1.0944 states/eV per atom
crystal system = cubic


# 11
A relaxed structure of Re4RhW, computed with GGA-PBE.

```
Re4RhW
1.0
0.000 3.625 3.625
3.625 0.000 3.625
3.625 3.625 0.000
Re Rh W
4 1 1
Cartesian
2.728 4.521 4.521
4.521 4.521 2.728
4.521 2.728 4.521
2.728 2.728 2.728
5.437 5.437 5.437
0.000 0.000 0.000
```

Output
calculated total energy = -68.49 eV per formula unit
DOS at the Fermi energy = 0.6972 states/eV per atom
crystal system = cubic


# 12
A relaxed structure of ReRhW2, computed with GGA-PBE.

```
ReRhW2
1.0
9.248 -1.392 0.000
9.248 1.392 0.000
9.038 0.000 2.402
Re Rh W
1 1 2
Cartesian
13.766 0.000 1.201
0.000 0.000 0.000
20.602 0.000 1.798
6.931 0.000 0.605
```

Output
energy above the lowest structure with this stoichiometry = 142 meV per atom
DOS at the Fermi energy = 1.6569 states/eV per atom
crystal system = trigonal


# 13
A relaxed structure of ReRhW2, computed with GGA-PBE.

```
ReRhW2
1.0
-0.799 0.950 2.398
-3.308 -2.297 -0.193
2.783 -4.226 2.601
Re Rh W
1 1 2
Cartesian
1.412 -2.144 1.319
0.032 -3.841 3.052
2.745 -4.167 2.565
-1.338 -1.761 1.772
```

Output
energy above the lowest structure with this stoichiometry = 101 meV per atom
DOS at the Fermi energy = 0.7997 states/eV per atom
crystal system = orthorhombic


# 14
A relaxed structure of Re2RhW, computed with GGA-PBE.

```
Re2RhW
1.0
-3.986 2.434 1.206
-0.661 -4.717 0.763
0.952 0.283 2.573
Re Rh W
2 1 1
Cartesian
-1.993 1.217 0.603
-0.330 -2.359 0.381
0.476 0.141 1.287
-1.848 -1.000 2.271
```

Output
energy above the lowest structure with this stoichiometry = 74 meV per atom
DOS at the Fermi energy = 0.7921 states/eV per atom
crystal system = orthorhombic


# 15
A relaxed structure of ReRhW2, computed with GGA-PBE.

```
ReRhW2
1.0
4.434 -1.857 0.222
4.539 0.246 -1.578
1.885 2.881 3.476
Re Rh W
1 1 2
Cartesian
4.486 -0.805 -0.678
0.943 1.440 1.738
3.682 1.745 2.254
7.176 -0.475 -0.134
```

Output
energy above the lowest structure with this stoichiometry = 70 meV per atom
DOS at the Fermi energy = 0.8698 states/eV per atom
crystal system = monoclinic


# 16
A relaxed structure of Re2RhW, computed with GGA-PBE.

```
Re2RhW
1.0
2.750 0.000 0.000
0.000 2.750 0.000
0.000 0.000 7.992
Re Rh W
2 1 1
Cartesian
0.000 0.000 6.037
0.000 0.000 1.955
1.375 1.375 0.000
1.375 1.375 3.996
```

Output
energy above the lowest structure with this stoichiometry = 132 meV per atom
DOS at the Fermi energy = 1.0347 states/eV per atom
crystal system = tetragonal


# 17
A relaxed structure of Re2RhW, computed with GGA-PBE.

```
Re2RhW
1.0
2.728 0.000 0.000
0.000 3.952 0.000
0.000 0.000 5.620
Re Rh W
2 1 1
Cartesian
0.000 0.000 4.279
0.000 0.000 1.341
1.364 1.976 0.000
1.364 1.976 2.810
```

Output
energy above the lowest structure with this stoichiometry = 131 meV per atom
DOS at the Fermi energy = 1.1688 states/eV per atom
crystal system = orthorhombic


# 18
A relaxed structure of ReRhW2, computed with GGA-PBE.

```
ReRhW2
1.0
4.044 0.000 0.000
0.000 2.731 -0.007
0.000 0.403 5.593
Re Rh W
1 1 2
Cartesian
2.022 1.366 -0.003
2.022 1.567 2.793
0.000 2.896 4.183
0.000 0.238 1.403
```

Output
energy above the lowest structure with this stoichiometry = 38 meV per atom
DOS at the Fermi energy = 0.8350 states/eV per atom
crystal system = monoclinic


# 19
A relaxed structure of Re2RhW, computed with GGA-PBE.

```
Re2RhW
1.0
4.414 -0.282 -0.037
1.967 -3.944 0.365
2.074 -1.768 -3.483
Re Rh W
2 1 1
Cartesian
2.114 -1.499 -0.789
6.341 -4.496 -2.367
0.000 0.000 0.000
4.227 -2.997 -1.578
```

Output
energy above the lowest structure with this stoichiometry = 343 meV per atom
DOS at the Fermi energy = 1.6903 states/eV per atom
crystal system = cubic


# 20
A relaxed structure of ZnReRhW, computed with GGA-PBE.

```
ZnReRhW
1.0
-2.429 2.689 2.458
-3.031 -1.641 2.700
0.612 0.158 4.333
Re Zn Rh W
1 1 1 1
Cartesian
-1.212 0.302 2.373
0.000 0.000 0.000
-3.636 0.905 7.118
-2.424 0.603 4.745
```

Output
calculated total energy = -34.01 eV per formula unit
DOS at the Fermi energy = 0.3381 states/eV per atom
crystal system = cubic


# 21
A relaxed structure of YRe2Rh, computed with GGA-PBE.

```
YRe2Rh
1.0
-0.462 -1.176 2.488
2.679 -0.769 0.134
1.973 7.558 3.940
Re Rh Y
2 1 1
Cartesian
0.062 0.239 0.125
0.924 3.540 1.845
1.602 0.917 2.296
2.588 4.696 4.266
```

Output
energy above the lowest structure with this stoichiometry = 288 meV per atom
DOS at the Fermi energy = 0.9315 states/eV per atom
crystal system = tetragonal


# 22
A relaxed structure of YRe2Rh, computed with GGA-PBE.

```
YRe2Rh
1.0
5.266 0.006 0.000
-2.542 4.612 0.000
0.000 0.000 2.826
Re Rh Y
2 1 1
Cartesian
0.000 0.000 0.000
1.362 2.309 0.000
2.633 0.003 1.413
-1.271 2.306 1.413
```

Output
energy above the lowest structure with this stoichiometry = 386 meV per atom
DOS at the Fermi energy = 1.1910 states/eV per atom
crystal system = orthorhombic


# 23
A relaxed structure of Y2ReRh, computed with GGA-PBE.

```
Y2ReRh
1.0
-0.034 5.604 -6.715
-2.890 3.903 -7.274
-2.865 6.492 -5.114
Re Rh Y
1 1 2
Cartesian
-1.447 4.000 -4.776
-4.341 11.999 -14.327
-5.788 15.997 -19.101
-2.895 8.002 -9.554
```

Output
calculated total energy = -32.17 eV per formula unit
DOS at the Fermi energy = 0.8012 states/eV per atom
crystal system = trigonal


# 24
A relaxed structure of YRe2Rh, computed with GGA-PBE.

```
YRe2Rh
1.0
-2.236 3.658 3.337
-5.171 -0.580 1.560
4.517 -3.004 -0.298
Re Rh Y
2 1 1
Cartesian
0.000 0.000 0.000
-3.703 1.539 2.449
-2.179 -1.023 1.855
-0.711 1.096 2.744
```

Output
energy above the lowest structure with this stoichiometry = 265 meV per atom
DOS at the Fermi energy = 1.1385 states/eV per atom
crystal system = tetragonal


# 25
A relaxed structure of YRe2Rh, computed with GGA-PBE.

```
YRe2Rh
1.0
-3.711 -6.374 -6.668
-1.154 -6.029 -7.822
-1.536 -7.945 -5.779
Re Rh Y
2 1 1
Cartesian
-6.341 -20.156 -20.079
-3.261 -10.366 -10.326
-1.600 -5.087 -5.067
-4.801 -15.261 -15.202
```

Output
energy above the lowest structure with this stoichiometry = 477 meV per atom
DOS at the Fermi energy = 1.2048 states/eV per atom
crystal system = trigonal


# 26
A relaxed structure of YReRh, computed with GGA-PBE.

```
YReRh
1.0
-2.243 2.717 -2.762
-4.463 0.254 0.247
-1.947 3.702 1.595
Re Rh Y
1 1 1
Cartesian
-4.326 3.336 -0.460
-6.490 5.005 -0.690
0.000 0.000 0.000
```

Output
energy above the lowest structure with this stoichiometry = 438 meV per atom
DOS at the Fermi energy = 1.6129 states/eV per atom
crystal system = cubic


# 27
A relaxed structure of YReRh, computed with GGA-PBE.

```
YReRh
1.0
-1.876 -0.771 -2.161
0.436 -1.815 2.302
-5.353 3.173 3.515
Re Rh Y
1 1 1
Cartesian
-0.148 0.088 0.097
-2.767 -0.134 0.418
-3.878 0.633 3.141
```

Output
energy above the lowest structure with this stoichiometry = 409 meV per atom
DOS at the Fermi energy = 1.2191 states/eV per atom
crystal system = trigonal


# 28
A relaxed structure of Y2ReRh, computed with GGA-PBE.

```
Y2ReRh
1.0
9.830 -0.026 -0.015
9.305 3.170 -0.015
9.305 1.529 2.777
Re Rh Y
1 1 2
Cartesian
13.939 2.290 1.346
21.591 3.548 2.085
0.418 0.069 0.040
6.711 1.103 0.648
```

Output
calculated total energy = -31.02 eV per formula unit
DOS at the Fermi energy = 1.4064 states/eV per atom
crystal system = trigonal


# 29
A relaxed structure of YRe2Rh, computed with GGA-PBE.

```
YRe2Rh
1.0
-2.868 0.767 1.169
-1.594 -3.857 -1.381
1.207 -2.038 4.297
Re Rh Y
2 1 1
Cartesian
0.000 0.000 0.000
-2.231 -1.545 -0.106
-0.831 -0.636 2.733
-0.193 -2.947 1.458
```

Output
energy above the lowest structure with this stoichiometry = 134 meV per atom
DOS at the Fermi energy = 1.0917 states/eV per atom
crystal system = orthorhombic


# 30
A relaxed structure of YReRh, computed with GGA-PBE.

```
YReRh
1.0
5.676 -0.003 -0.001
3.633 4.361 0.001
-4.371 -2.785 2.315
Re Rh Y
1 1 1
Cartesian
8.979 4.204 0.000
3.445 1.613 0.000
6.194 2.900 0.000
```

Output
energy above the lowest structure with this stoichiometry = 79 meV per atom
DOS at the Fermi energy = 1.1520 states/eV per atom
crystal system = orthorhombic